# Tl7Hg5, relaxed, DFT PBE
data_Tl7Hg5
_cell_length_a 5.715
_cell_length_b 6.199
_cell_length_c 11.299
_cell_angle_alpha 92.15
_cell_angle_beta 90.00
_cell_angle_gamma 117.45
_space_group_name_H-M_alt 'P 1'
_space_group_IT_number 1
_space_group_name_Hall 'P 1'
loop_
_atom_site_label
_atom_site_fract_x
_atom_site_fract_y
_atom_site_fract_z
Tl1 0.517 0.033 0.283
Tl2 0.344 0.689 0.021
Tl3 0.000 0.000 0.500
Tl4 0.483 0.967 0.717
Tl5 0.829 0.658 0.236
Tl6 0.171 0.342 0.764
Tl7 0.656 0.311 0.979
Hg1 0.158 0.315 0.237
Hg2 0.842 0.685 0.763
Hg3 0.311 0.622 0.477
Hg4 0.000 0.000 0.000
Hg5 0.689 0.378 0.523
# **Calculated total energy**: -1.508 eV per atom
# **E_form**: -0.0015 eV per atom
# **DOS at the Fermi energy**: 6.52 states/eV/cell
# **ρ**: 11.39 Mg/m³
# **Space group**: C2/m